A:
Material: YHo3Er4
Method: DFT, GGA-PBE
State: relaxed

Calculated values
The calculation puts the spin magnetization at 0.00 μB/atom.

Cell and atoms, written as CIF:
```
data_YHo3Er4
_chemical_formula_sum 'Y1 Ho3 Er4'
_cell_length_a 3.525
_cell_length_b 7.035
_cell_length_c 9.958
_cell_angle_alpha 90.00
_cell_angle_beta 90.00
_cell_angle_gamma 90.00
_symmetry_space_group_name_H-M 'P m m m'
_symmetry_Int_Tables_number 47
_symmetry_space_group_name_Hall '-P 2 2'
loop_
_atom_site_label
_atom_site_type_symbol
_atom_site_fract_x
_atom_site_fract_y
_atom_site_fract_z
Y1 Y 0.000 0.000 0.000
Ho1 Ho 0.000 0.000 0.500
Ho2 Ho 0.000 0.500 0.000
Ho3 Ho 0.000 0.500 0.500
Er1 Er 0.500 0.251 0.251
```

---

B:
Material: YHo3Er4
Method: DFT, GGA-PBE
State: relaxed

Calculated values
The calculation puts the spin magnetization at 0.00 μB/atom.

Cell and atoms, written as CIF:
```
data_YHo3Er4
_chemical_formula_sum 'Y2 Ho6 Er8'
_cell_length_a 11.143
_cell_length_b 7.212
_cell_length_c 6.234
_cell_angle_alpha 90.00
_cell_angle_beta 90.00
_cell_angle_gamma 90.00
_symmetry_space_group_name_H-M 'P m n 21'
_symmetry_Int_Tables_number 31
_symmetry_space_group_name_Hall 'P 2ac -2'
loop_
_atom_site_label
_atom_site_type_symbol
_atom_site_fract_x
_atom_site_fract_y
_atom_site_fract_z
Y1 Y 0.000 0.126 0.000
Ho1 Ho 0.000 0.874 0.500
Ho2 Ho 0.250 0.126 0.334
Er1 Er 0.000 0.376 0.500
Er2 Er 0.000 0.624 0.999
Er3 Er 0.249 0.624 0.332
```

---

Looking at the structures above, B is most stable, and the difference to the next one is 0.024 eV/atom.